Material: Li12AgPd3
Method: DFT, PBE-GGA
State: relaxed

V   15.19 Å³ per atom
Energy relative to the elements   -363 kJ/mol of formula units

a b c (Å): 3.9784 3.9784 15.3513
angles (deg): 90.00 90.00 90.00
Closest atoms and distances in Å follow each position.
Positions (direct):
Li 0.0000 0.0000 0.0000  8 Li 2.72, 4 Pd 2.81
Li 0.0000 0.0000 0.2424  8 Li 2.73, 4 Pd 2.81
Li 0.0000 0.0000 0.5000  4 Ag 2.81, 8 Li 2.88
Li 0.0000 0.0000 0.7576  8 Li 2.73, 4 Pd 2.81
Li 0.0000 0.5000 0.1207  4 Pd 2.72, 8 Li 2.72-2.81
Li 0.0000 0.5000 0.3640  8 Li 2.73-2.88, 2 Pd 2.74, 2 Ag 2.88
Li 0.0000 0.5000 0.6360  8 Li 2.73-2.88, 2 Pd 2.74, 2 Ag 2.88
Li 0.0000 0.5000 0.8793  4 Pd 2.72, 8 Li 2.72-2.81
Li 0.5000 0.0000 0.1207  4 Pd 2.72, 8 Li 2.72-2.81
Li 0.5000 0.0000 0.3640  8 Li 2.73-2.88, 2 Pd 2.74, 2 Ag 2.88
Li 0.5000 0.0000 0.6360  8 Li 2.73-2.88, 2 Pd 2.74, 2 Ag 2.88
Li 0.5000 0.0000 0.8793  4 Pd 2.72, 8 Li 2.72-2.81
Ag 0.5000 0.5000 0.5000  12 Li 2.81-2.88
Pd 0.5000 0.5000 0.0000  12 Li 2.72-2.81
Pd 0.5000 0.5000 0.2413  12 Li 2.72-2.81
Pd 0.5000 0.5000 0.7587  12 Li 2.72-2.81